Record 1
A plane-wave DFT calculation with PBE-GGA was carried out for a relaxed structure of Ho2AlGaPd6.

POSCAR file:
```
Ho2AlGaPd6
1.0
5.6296 0.0164 0.0007
-0.0170 8.1074 -1.6267
2.8092 2.7795 4.0076
Pd Al Ga Ho
6 1 1 2
Direct
0.7509 0.7427 0.0029
0.2458 0.7426 0.0029
0.2502 0.2588 0.4999
0.7542 0.2574 0.9971
0.2491 0.2573 0.9971
0.7498 0.7412 0.5001
0.5000 0.5000 0.0000
0.0000 0.0000 0.0000
0.2048 0.6120 0.5905
0.7952 0.3880 0.4095
```

Symmetry: C2/m, No. 12
Total DFT energy (no corrections) in Ry/atom: -0.397



Record 2
A plane-wave DFT calculation with PBE-GGA was carried out for a relaxed structure of Ho2Al4GaPd3.

POSCAR file:
```
Ho2Al4GaPd3
1.0
-0.9199 4.0344 0.5651
-0.3766 -0.6611 4.1064
10.3848 2.1852 1.3042
Ho Al Pd Ga
2 4 3 1
Direct
0.5000 0.0000 0.2479
0.0000 0.5000 0.7521
0.0000 0.0000 0.0000
0.5000 0.0000 0.6395
0.5000 0.5000 0.0000
0.0000 0.5000 0.3605
0.5000 0.0000 0.8671
0.0000 0.5000 0.1329
0.0000 0.0000 0.5000
0.5000 0.5000 0.5000
```

Symmetry: P-4m2, No. 115
Total DFT energy (no corrections) in Ry/atom: -0.371



Record 3
A plane-wave DFT calculation with PBE-GGA was carried out for a relaxed structure of PmHoAlGa.

POSCAR file:
```
PmHoAlGa
1.0
5.1347 0.0000 0.0000
2.5674 4.4468 0.0000
2.5674 1.4823 4.1925
Ga Ho Pm Al
1 1 1 1
Direct
0.2500 0.2500 0.2500
0.0000 0.0000 0.0000
0.5000 0.5000 0.5000
0.7500 0.7500 0.7500
```

Symmetry: F-43m, No. 216
Total DFT energy (no corrections) in Ry/atom: -0.330
Energy above the lowest structure with this stoichiometry in meV/atom: 26



Record 4
A plane-wave DFT calculation with PBE-GGA was carried out for a relaxed structure of PmHo2Al2Ga2.

POSCAR file:
```
PmHo2Al2Ga2
1.0
4.3857 0.0000 0.0000
2.1929 3.7982 0.0000
2.1929 1.2661 9.9151
Ga Al Ho Pm
2 2 2 1
Direct
0.7448 0.7448 0.7657
0.2552 0.2552 0.2343
0.3975 0.3975 0.8076
0.6025 0.6025 0.1924
0.1289 0.1289 0.6133
0.8711 0.8711 0.3867
0.0000 0.0000 0.0000
```

Symmetry: R-3m, No. 166
Total DFT energy (no corrections) in Ry/atom: -0.317



Record 5
A plane-wave DFT calculation with PBE-GGA was carried out for a relaxed structure of PmHoAlGa.

POSCAR file:
```
PmHoAlGa
1.0
-3.4992 -1.9632 1.9138
-0.9489 -1.8003 -3.5817
4.9387 -3.3861 0.3936
Ga Al Ho Pm
1 1 1 1
Direct
0.5731 0.5000 0.1462
0.4272 0.0000 0.8545
0.8593 0.5000 0.7186
0.1403 0.0000 0.2807
```

Symmetry: Amm2, No. 38
Total DFT energy (no corrections) in Ry/atom: -0.332
Energy above the lowest structure with this stoichiometry in meV/atom: 0



Record 6
A plane-wave DFT calculation with PBE-GGA was carried out for a relaxed structure of PrHo2Al2Ga2.

POSCAR file:
```
PrHo2Al2Ga2
1.0
4.4063 0.0000 0.0000
2.2031 3.8159 0.0000
2.2031 1.2720 9.9496
Al Pr Ga Ho
2 1 2 2
Direct
0.3994 0.3994 0.8017
0.6006 0.6006 0.1983
0.0000 0.0000 0.0000
0.2533 0.2533 0.2401
0.7467 0.7467 0.7599
0.1297 0.1297 0.6110
0.8703 0.8703 0.3890
```

Symmetry: R-3m, No. 166
Total DFT energy (no corrections) in Ry/atom: -0.318



Number 1: energy relative to the elements -0.6874 eV per atom. Number 2: energy relative to the elements -0.7682 eV per atom. Number 3: energy relative to the elements -0.4674 eV per atom. Number 4: energy relative to the elements -0.3937 eV per atom. Number 5: energy relative to the elements -0.4937 eV per atom. Number 6: energy relative to the elements -0.3957 eV per atom.